{"formula": "K12Na3In", "functional": "PBE", "state": "relaxed", "final_energy_ev_per_atom": -1.211, "delta_e_f_ev_per_fu": 0.5, "magmom_total_mub_per_fu": 0.000, "space_group": "P4/mmm (123)", "lattice_angstrom": [[6.1938, 0.0000, 0.0000], [0.0000, 6.1938, 0.0000], [0.0000, 0.0000, 24.4699]], "species": ["K", "K", "K", "K", "K", "K", "K", "K", "K", "K", "K", "K", "Na", "Na", "Na", "In"], "fractional_positions": [[0.0000, 0.0000, 0.0000], [0.0000, 0.0000, 0.2398], [0.0000, 0.0000, 0.5000], [0.0000, 0.0000, 0.7602], [0.0000, 0.5000, 0.1075], [0.0000, 0.5000, 0.3698], [0.0000, 0.5000, 0.6302], [0.0000, 0.5000, 0.8925], [0.5000, 0.0000, 0.1075], [0.5000, 0.0000, 0.3698], [0.5000, 0.0000, 0.6302], [0.5000, 0.0000, 0.8925], [0.5000, 0.5000, 0.2413], [0.5000, 0.5000, 0.5000], [0.5000, 0.5000, 0.7587], [0.5000, 0.5000, 0.0000]]}


{"formula": "K3Na7In2", "functional": "PBE", "state": "relaxed", "final_energy_ev_per_atom": -1.513, "delta_e_f_ev_per_fu": -0.1, "magmom_total_mub_per_fu": 0.000, "space_group": "R-3m (166)", "lattice_angstrom": [[3.5470, 2.0478, 11.3977], [-3.5470, 2.0478, 11.3977], [0.0000, -4.0957, 11.3977]], "species": ["K", "K", "K", "Na", "Na", "Na", "Na", "Na", "Na", "Na", "In", "In"], "fractional_positions": [[0.0000, 0.0000, 0.0000], [0.1433, 0.1433, 0.1433], [0.8567, 0.8567, 0.8567], [0.0747, 0.5749, 0.5749], [0.4251, 0.4251, 0.9253], [0.4251, 0.9253, 0.4251], [0.5000, 0.5000, 0.5000], [0.5749, 0.0747, 0.5749], [0.5749, 0.5749, 0.0747], [0.9253, 0.4251, 0.4251], [0.3331, 0.3331, 0.3331], [0.6669, 0.6669, 0.6669]]}